# PBE TiNbAl2, relaxed
# * E_form: -0.233 eV per atom
# * total magnetization: 0.00 μB/atom
# * energy relative to the lowest polymorph listed for this composition: 155 meV/atom
# * crystal system: tetragonal
data_TiNbAl2
_chemical_formula_sum 'Ti1 Nb1 Al2'
_space_group_name_H-M_alt 'P 1'
_space_group_IT_number 1
_cell_length_a 3.465
_cell_length_b 3.465
_cell_length_c 5.549
_cell_angle_alpha 90.00
_cell_angle_beta 90.00
_cell_angle_gamma 90.00
loop_
_space_group_symop_operation_xyz
'x,y,z'
loop_
_atom_site_label
_atom_site_fract_x
_atom_site_fract_y
_atom_site_fract_z
Al1 0.000 0.000 0.752
Al2 0.000 0.000 0.248
Nb1 0.500 0.500 0.000
Ti1 0.500 0.500 0.500



# PBE MnBeIr2, relaxed
# * E_form: -0.179 eV per atom
# * total magnetization: 0.55 μB/atom
# * crystal system: orthorhombic
data_MnBeIr2
_chemical_formula_sum 'Mn1 Be1 Ir2'
_space_group_name_H-M_alt 'P 1'
_space_group_IT_number 1
_cell_length_a 2.705
_cell_length_b 3.677
_cell_length_c 5.095
_cell_angle_alpha 90.00
_cell_angle_beta 90.00
_cell_angle_gamma 90.00
loop_
_space_group_symop_operation_xyz
'x,y,z'
loop_
_atom_site_label
_atom_site_fract_x
_atom_site_fract_y
_atom_site_fract_z
Ir1 0.500 0.500 0.276
Ir2 0.000 0.000 0.964
Be1 0.500 0.500 0.760
Mn1 0.000 0.000 0.499



# PBE La5Tl2Ag2, relaxed
# * E_form: -0.241 eV per atom
# * total magnetization: 0.00 μB/atom
# * crystal system: orthorhombic
data_La5Tl2Ag2
_chemical_formula_sum 'La10 Tl4 Ag4'
_space_group_name_H-M_alt 'P 1'
_space_group_IT_number 1
_cell_length_a 7.799
_cell_length_b 8.800
_cell_length_c 9.537
_cell_angle_alpha 117.47
_cell_angle_beta 90.00
_cell_angle_gamma 90.00
loop_
_space_group_symop_operation_xyz
'x,y,z'
loop_
_atom_site_label
_atom_site_fract_x
_atom_site_fract_y
_atom_site_fract_z
La1 0.160 0.182 0.730
La2 0.660 0.048 0.730
La3 0.660 0.318 0.270
La4 0.340 0.952 0.270
La5 0.840 0.818 0.270
La6 0.840 0.548 0.730
La7 0.500 0.500 0.000
La8 0.340 0.682 0.730
La9 0.160 0.452 0.270
La10 0.000 0.000 0.000
Tl1 0.000 0.788 0.576
Tl2 0.000 0.212 0.424
Tl3 0.500 0.288 0.576
Tl4 0.500 0.712 0.424
Ag1 0.123 0.624 0.000
Ag2 0.877 0.376 0.000
Ag3 0.623 0.876 0.000
Ag4 0.377 0.124 0.000



# PBE NdLuZnCd, relaxed
# * E_form: -0.290 eV per atom
# * total magnetization: 0.00 μB/atom
# * crystal system: cubic
data_NdLuZnCd
_chemical_formula_sum 'Nd1 Lu1 Zn1 Cd1'
_space_group_name_H-M_alt 'P 1'
_space_group_IT_number 1
_cell_length_a 5.221
_cell_length_b 5.221
_cell_length_c 5.221
_cell_angle_alpha 60.00
_cell_angle_beta 60.00
_cell_angle_gamma 60.00
loop_
_space_group_symop_operation_xyz
'x,y,z'
loop_
_atom_site_label
_atom_site_fract_x
_atom_site_fract_y
_atom_site_fract_z
Zn1 0.250 0.250 0.250
Nd1 0.500 0.500 0.500
Lu1 0.000 0.000 0.000
Cd1 0.750 0.750 0.750



# PBE GdYHgPb, relaxed
# * E_form: -0.494 eV per atom
# * total magnetization: 1.89 μB/atom
# * crystal system: cubic
data_GdYHgPb
_chemical_formula_sum 'Gd1 Y1 Hg1 Pb1'
_space_group_name_H-M_alt 'P 1'
_space_group_IT_number 1
_cell_length_a 5.371
_cell_length_b 5.371
_cell_length_c 5.371
_cell_angle_alpha 60.00
_cell_angle_beta 60.00
_cell_angle_gamma 60.00
loop_
_space_group_symop_operation_xyz
'x,y,z'
loop_
_atom_site_label
_atom_site_fract_x
_atom_site_fract_y
_atom_site_fract_z
Y1 0.750 0.750 0.750
Hg1 0.500 0.500 0.500
Gd1 0.250 0.250 0.250
Pb1 0.000 0.000 0.000



# PBE SrCr2Sb, relaxed
# * total magnetization: 0.00 μB/atom
# * crystal system: monoclinic
# * uncorrected formation energy: 1.70 eV per formula unit
data_SrCr2Sb
_chemical_formula_sum 'Sr1 Cr2 Sb1'
_space_group_name_H-M_alt 'P 1'
_space_group_IT_number 1
_cell_length_a 5.021
_cell_length_b 5.021
_cell_length_c 5.884
_cell_angle_alpha 79.31
_cell_angle_beta 79.31
_cell_angle_gamma 38.98
loop_
_space_group_symop_operation_xyz
'x,y,z'
loop_
_atom_site_label
_atom_site_fract_x
_atom_site_fract_y
_atom_site_fract_z
Cr1 0.011 0.011 0.866
Cr2 0.489 0.489 0.634
Sr1 0.250 0.250 0.250
Sb1 0.750 0.750 0.750



# PBE La2TlCd, relaxed
# * E_form: -0.188 eV per atom
# * total magnetization: 0.00 μB/atom
# * energy relative to the lowest polymorph listed for this composition: 198 meV/atom
# * crystal system: trigonal
data_La2TlCd
_chemical_formula_sum 'La2 Tl1 Cd1'
_space_group_name_H-M_alt 'P 1'
_space_group_IT_number 1
_cell_length_a 10.407
_cell_length_b 10.407
_cell_length_c 10.407
_cell_angle_alpha 21.54
_cell_angle_beta 21.54
_cell_angle_gamma 21.54
loop_
_space_group_symop_operation_xyz
'x,y,z'
loop_
_atom_site_label
_atom_site_fract_x
_atom_site_fract_y
_atom_site_fract_z
La1 0.000 0.000 0.000
La2 0.500 0.500 0.500
Tl1 0.250 0.250 0.250
Cd1 0.750 0.750 0.750



# PBE La2Tb7Ho3, relaxed
# * E_form: 0.121 eV per atom
# * total magnetization: 0.00 μB/atom
# * energy relative to the lowest polymorph listed for this composition: 42 meV/atom
# * crystal system: orthorhombic
data_La2Tb7Ho3
_chemical_formula_sum 'La2 Tb7 Ho3'
_space_group_name_H-M_alt 'P 1'
_space_group_IT_number 1
_cell_length_a 3.625
_cell_length_b 5.733
_cell_length_c 19.297
_cell_angle_alpha 98.54
_cell_angle_beta 90.00
_cell_angle_gamma 90.00
loop_
_space_group_symop_operation_xyz
'x,y,z'
loop_
_atom_site_label
_atom_site_fract_x
_atom_site_fract_y
_atom_site_fract_z
Ho1 0.500 0.313 0.626
Ho2 0.500 0.500 0.000
Ho3 0.500 0.687 0.374
Tb1 0.000 0.231 0.462
Tb2 0.000 0.769 0.538
Tb3 0.000 0.412 0.823
Tb4 0.500 0.930 0.859
Tb5 0.000 0.000 0.000
Tb6 0.000 0.588 0.177
Tb7 0.500 0.070 0.141
La1 0.000 0.148 0.295
La2 0.000 0.852 0.705



# PBE Ca2MgCd12Cu3, relaxed
# * E_form: 0.136 eV per atom
# * total magnetization: 0.00 μB/atom
# * crystal system: trigonal
data_Ca2MgCd12Cu3
_chemical_formula_sum 'Ca2 Mg1 Cd12 Cu3'
_space_group_name_H-M_alt 'P 1'
_space_group_IT_number 1
_cell_length_a 8.317
_cell_length_b 8.317
_cell_length_c 8.317
_cell_angle_alpha 68.56
_cell_angle_beta 68.56
_cell_angle_gamma 68.56
loop_
_space_group_symop_operation_xyz
'x,y,z'
loop_
_atom_site_label
_atom_site_fract_x
_atom_site_fract_y
_atom_site_fract_z
Cd1 0.153 0.153 0.602
Cd2 0.398 0.847 0.847
Cd3 0.841 0.290 0.290
Cd4 0.153 0.602 0.153
Cd5 0.710 0.159 0.710
Cd6 0.847 0.398 0.847
Cd7 0.602 0.153 0.153
Cd8 0.290 0.290 0.841
Cd9 0.290 0.841 0.290
Cd10 0.847 0.847 0.398
Cd11 0.710 0.710 0.159
Cd12 0.159 0.710 0.710
Mg1 0.000 0.000 0.000
Cu1 0.500 0.000 0.000
Cu2 0.000 0.000 0.500
Cu3 0.000 0.500 0.000
Ca1 0.592 0.592 0.592
Ca2 0.408 0.408 0.408



# PBE AcLuInRu, relaxed
# * E_form: -0.129 eV per atom
# * total magnetization: 0.00 μB/atom
# * crystal system: cubic
data_AcLuInRu
_chemical_formula_sum 'Ac1 Lu1 In1 Ru1'
_space_group_name_H-M_alt 'P 1'
_space_group_IT_number 1
_cell_length_a 5.252
_cell_length_b 5.252
_cell_length_c 5.252
_cell_angle_alpha 60.00
_cell_angle_beta 60.00
_cell_angle_gamma 60.00
loop_
_space_group_symop_operation_xyz
'x,y,z'
loop_
_atom_site_label
_atom_site_fract_x
_atom_site_fract_y
_atom_site_fract_z
Ru1 0.750 0.750 0.750
In1 0.250 0.250 0.250
Lu1 0.500 0.500 0.500
Ac1 0.000 0.000 0.000



# PBE Sm2SiS, relaxed
# * total magnetization: 0.00 μB/atom
# * energy relative to the lowest polymorph listed for this composition: 44 meV/atom
# * crystal system: trigonal
# * uncorrected formation energy: -5.45 eV per formula unit
data_Sm2SiS
_chemical_formula_sum 'Sm2 Si1 S1'
_space_group_name_H-M_alt 'P 1'
_space_group_IT_number 1
_cell_length_a 4.110
_cell_length_b 4.110
_cell_length_c 7.204
_cell_angle_alpha 73.43
_cell_angle_beta 73.43
_cell_angle_gamma 60.00
loop_
_space_group_symop_operation_xyz
'x,y,z'
loop_
_atom_site_label
_atom_site_fract_x
_atom_site_fract_y
_atom_site_fract_z
Si1 0.000 0.000 0.000
Sm1 0.750 0.750 0.750
Sm2 0.250 0.250 0.250
S1 0.500 0.500 0.500



# PBE BAsCBr2, relaxed
# * total magnetization: 0.00 μB/atom
# * energy relative to the lowest polymorph listed for this composition: 0 meV/atom
# * crystal system: tetragonal
# * uncorrected formation energy: 9.49 eV per formula unit
data_BAsCBr2
_chemical_formula_sum 'B1 As1 C1 Br2'
_space_group_name_H-M_alt 'P 1'
_space_group_IT_number 1
_cell_length_a 4.796
_cell_length_b 4.796
_cell_length_c 4.275
_cell_angle_alpha 90.00
_cell_angle_beta 90.00
_cell_angle_gamma 90.00
loop_
_space_group_symop_operation_xyz
'x,y,z'
loop_
_atom_site_label
_atom_site_fract_x
_atom_site_fract_y
_atom_site_fract_z
Br1 0.000 0.500 0.000
Br2 0.500 0.000 0.000
B1 0.500 0.500 0.500
C1 0.000 0.000 0.000
As1 0.000 0.000 0.500



Copy entry 6 word for word.
# PBE SrCr2Sb, relaxed
# * total magnetization: 0.00 μB/atom
# * crystal system: monoclinic
# * uncorrected formation energy: 1.70 eV per formula unit
data_SrCr2Sb
_chemical_formula_sum 'Sr1 Cr2 Sb1'
_space_group_name_H-M_alt 'P 1'
_space_group_IT_number 1
_cell_length_a 5.021
_cell_length_b 5.021
_cell_length_c 5.884
_cell_angle_alpha 79.31
_cell_angle_beta 79.31
_cell_angle_gamma 38.98
loop_
_space_group_symop_operation_xyz
'x,y,z'
loop_
_atom_site_label
_atom_site_fract_x
_atom_site_fract_y
_atom_site_fract_z
Cr1 0.011 0.011 0.866
Cr2 0.489 0.489 0.634
Sr1 0.250 0.250 0.250
Sb1 0.750 0.750 0.750